VASP calculation (GGA+U) on crystalline RuWNF2 at its relaxed geometry.

Lattice parameters (Å, degrees): 4.349 4.349 3.743 90.00 90.00 90.00
Element x y z (fractional)
1 Ru 0.000 0.000 0.000
2 W 0.500 0.500 0.500
3 N 0.000 0.000 0.500
4 F 0.000 0.500 0.000
5 F 0.500 0.000 0.000

crystal system	tetragonal
magnetization	4.0	μB per formula unit
raw total energy	-0.2024	hartree per atom
N(E_F)	2.71	states/eV per cell